# UAl2Ru3 PBE relaxed
# E_tot ... -0.6105 Ry per atom
# Energy of formation from the pure elements ... -0.5392 eV per atom
# DOS at the Fermi energy ... 11.1 states/eV/cell
data_UAl2Ru3
_symmetry_space_group_name_H-M 'P -3 m 1'
_symmetry_Int_Tables_number 164
_symmetry_space_group_name_Hall '-P 3 2"'
_cell_length_a 4.4798
_cell_length_b 4.4798
_cell_length_c 10.8423
_cell_angle_alpha 90.00
_cell_angle_beta 90.00
_cell_angle_gamma 120.00
loop_
_atom_site_label
_atom_site_type_symbol
_atom_site_fract_x
_atom_site_fract_y
_atom_site_fract_z
U1 U 0.3333 0.6667 0.1773
Al1 Al 0.0000 0.0000 0.0000
Al2 Al 0.0000 0.0000 0.5000
Al3 Al 0.3333 0.6667 0.6529
Ru1 Ru 0.0000 0.0000 0.2645
Ru2 Ru 0.3333 0.6667 0.4177
Ru3 Ru 0.3333 0.6667 0.9224


# UAl5Ru PBE relaxed
# E_tot ... -0.4389 Ry per atom
# Energy of formation from the pure elements ... -0.3606 eV per atom
# DOS at the Fermi energy ... 5.4 states/eV/cell
data_UAl5Ru
_symmetry_space_group_name_H-M 'P 4/m m m'
_symmetry_Int_Tables_number 123
_symmetry_space_group_name_Hall '-P 4 2'
_cell_length_a 4.2989
_cell_length_b 4.2989
_cell_length_c 6.8751
_cell_angle_alpha 90.00
_cell_angle_beta 90.00
_cell_angle_gamma 90.00
loop_
_atom_site_label
_atom_site_type_symbol
_atom_site_fract_x
_atom_site_fract_y
_atom_site_fract_z
U1 U 0.0000 0.0000 0.0000
Al1 Al 0.0000 0.5000 0.3036
Al2 Al 0.5000 0.5000 0.0000
Ru1 Ru 0.0000 0.0000 0.5000


# UAl10Ru2 PBE relaxed
# E_tot ... -0.4106 Ry per atom
# Energy of formation from the pure elements ... -0.4125 eV per atom
# DOS at the Fermi energy ... 35.8 states/eV/cell
data_UAl10Ru2
_symmetry_space_group_name_H-M 'C m c m'
_symmetry_Int_Tables_number 63
_symmetry_space_group_name_Hall '-C 2c 2'
_cell_length_a 9.0187
_cell_length_b 10.2863
_cell_length_c 9.1219
_cell_angle_alpha 90.00
_cell_angle_beta 90.00
_cell_angle_gamma 90.00
loop_
_atom_site_label
_atom_site_type_symbol
_atom_site_fract_x
_atom_site_fract_y
_atom_site_fract_z
U1 U 0.0000 0.1213 0.2500
Al1 Al 0.0000 0.1563 0.6005
Al2 Al 0.0000 0.3765 0.0514
Al3 Al 0.1505 0.3701 0.7500
Al4 Al 0.2226 0.0000 0.0000
Al5 Al 0.2258 0.3656 0.2500
Ru1 Ru 0.2500 0.2500 0.0000


# UAlRu2 PBE relaxed
# E_tot ... -0.6520 Ry per atom
# Energy of formation from the pure elements ... -0.4753 eV per atom
# DOS at the Fermi energy ... 4.9 states/eV/cell
data_UAlRu2
_symmetry_space_group_name_H-M 'P 4/m m m'
_symmetry_Int_Tables_number 123
_symmetry_space_group_name_Hall '-P 4 2'
_cell_length_a 4.3830
_cell_length_b 4.3830
_cell_length_c 3.4409
_cell_angle_alpha 90.00
_cell_angle_beta 90.00
_cell_angle_gamma 90.00
loop_
_atom_site_label
_atom_site_type_symbol
_atom_site_fract_x
_atom_site_fract_y
_atom_site_fract_z
U1 U 0.0000 0.0000 0.0000
Al1 Al 0.5000 0.5000 0.0000
Ru1 Ru 0.0000 0.5000 0.5000


# UAl3Ru4 PBE relaxed
# E_tot ... -0.5924 Ry per atom
# Energy of formation from the pure elements ... -0.6070 eV per atom
# DOS at the Fermi energy ... 4.1 states/eV/cell
data_UAl3Ru4
_symmetry_space_group_name_H-M 'P m m m'
_symmetry_Int_Tables_number 47
_symmetry_space_group_name_Hall '-P 2 2'
_cell_length_a 3.2201
_cell_length_b 4.3450
_cell_length_c 8.5951
_cell_angle_alpha 90.00
_cell_angle_beta 90.00
_cell_angle_gamma 90.00
loop_
_atom_site_label
_atom_site_type_symbol
_atom_site_fract_x
_atom_site_fract_y
_atom_site_fract_z
U1 U 0.0000 0.0000 0.0000
Al1 Al 0.0000 0.0000 0.5000
Al2 Al 0.0000 0.5000 0.2687
Ru1 Ru 0.5000 0.0000 0.2538
Ru2 Ru 0.5000 0.5000 0.0000
Ru3 Ru 0.5000 0.5000 0.5000


# UAlRu2 PBE relaxed
# E_tot ... -0.6248 Ry per atom
# Energy of formation from the pure elements ... -0.1047 eV per atom
# DOS at the Fermi energy ... 15.1 states/eV/cell
data_UAlRu2
_symmetry_space_group_name_H-M 'R -3 m'
_symmetry_Int_Tables_number 166
_symmetry_space_group_name_Hall '-R 3 2"'
_cell_length_a 2.8947
_cell_length_b 2.8947
_cell_length_c 26.2379
_cell_angle_alpha 90.00
_cell_angle_beta 90.00
_cell_angle_gamma 120.00
loop_
_atom_site_label
_atom_site_type_symbol
_atom_site_fract_x
_atom_site_fract_y
_atom_site_fract_z
U1 U 0.0000 0.0000 0.0000
Al1 Al 0.0000 0.0000 0.5000
Ru1 Ru 0.0000 0.0000 0.2425